1 | Entry from the Alexandria database: a geometry-optimized NaU2I8 structure (PBE-GGA).

Cell: 10.1897 10.1897 6.2316 Å, 90.00 90.00 120.00°
Closest atoms and distances in Å follow each position.
Space group P-3 (No. 147)
Symmetry-distinct sites (fractional):
Na: 0.0000 0.0000 0.0000 [1 per cell]  6 I 3.34
U: 0.3333 0.6667 0.2360 [2 per cell]  5 I 2.94-3.17
I: 0.1659 0.3336 0.2524 [6 per cell]  1 U 2.94
I: 0.3333 0.6667 0.7453 [2 per cell]  2 U 3.06-3.17

Calculated values
DOS at the Fermi energy	19.462	states/eV/cell
size of the total moment	5.00	μB/cell

=====

2 | Entry from the Alexandria database: a geometry-optimized NaU2I8 structure (PBE-GGA).

Cell: 16.0312 10.5254 7.7071 Å, 90.00 93.51 90.00°
Closest atoms and distances in Å follow each position.
Space group C2/m (No. 12)
Symmetry-distinct sites (fractional):
Na: 0.0000 0.0000 0.0000 [2 per cell]  6 I 3.29-3.34
U: 0.1826 0.0000 0.6285 [4 per cell]  4 I 2.89-2.94
I: 0.0886 0.2143 0.7615 [8 per cell]  1 U 2.93
I: 0.1434 0.5000 0.2464 [4 per cell]  1 U 2.89
I: 0.1788 0.0000 0.2464 [4 per cell]  1 U 2.94

Calculated values
DOS at the Fermi energy	37.262	states/eV/cell
size of the total moment	10.00	μB/cell

=====

Most stable structure: 1

=====

1 | Entry from the Alexandria database: a geometry-optimized Na2VI structure (PBE-GGA).

Cell: 8.9051 8.9051 6.2135 Å, 90.00 90.00 90.00°
Closest atoms and distances in Å follow each position.
Space group I-42d (No. 122)
Symmetry-distinct sites (fractional):
Na: 0.2349 0.2500 0.1250 [8 per cell]  2 Na 3.12, 2 I 3.15, 2 V 3.34
V: 0.0000 0.0000 0.5000 [4 per cell]  2 I 3.11, 4 Na 3.34
I: 0.0000 0.0000 0.0000 [4 per cell]  2 V 3.11, 4 Na 3.15

Calculated values
DOS at the Fermi energy	21.402	states/eV/cell
size of the total moment	16.84	μB/cell

=====

2 | Entry from the Alexandria database: a geometry-optimized Na2VI structure (PBE-GGA).

Cell: 7.8743 7.8743 7.8743 Å, 90.00 90.00 90.00°
Closest atoms and distances in Å follow each position.
Space group Fm-3m (No. 225)
Symmetry-distinct sites (fractional):
Na: 0.2500 0.2500 0.2500 [8 per cell]  4 I 3.41, 4 V 3.41
V: 0.0000 0.0000 0.0000 [4 per cell]  8 Na 3.41
I: 0.0000 0.0000 0.5000 [4 per cell]  8 Na 3.41

Calculated values
DOS at the Fermi energy	22.430	states/eV/cell
size of the total moment	19.23	μB/cell

=====

Most stable structure: 1

=====

1 | Entry from the Alexandria database: a geometry-optimized NaV2I structure (PBE-GGA).

Cell: 6.9950 6.9950 6.9950 Å, 90.00 90.00 90.00°
Closest atoms and distances in Å follow each position.
Space group Fm-3m (No. 225)
Symmetry-distinct sites (fractional):
Na: 0.0000 0.0000 0.0000 [4 per cell]  8 V 3.03
V: 0.2500 0.2500 0.2500 [8 per cell]  4 Na 3.03, 4 I 3.03
I: 0.0000 0.0000 0.5000 [4 per cell]  8 V 3.03

Calculated values
DOS at the Fermi energy	15.058	states/eV/cell
size of the total moment	28.24	μB/cell

=====

2 | Entry from the Alexandria database: a geometry-optimized NaV2I structure (PBE-GGA).

Cell: 8.5361 8.5361 6.0265 Å, 90.00 90.00 90.00°
Closest atoms and distances in Å follow each position.
Space group I-42d (No. 122)
Symmetry-distinct sites (fractional):
Na: 0.0000 0.0000 0.0000 [4 per cell]  2 I 3.01
V: 0.1941 0.7500 0.6250 [8 per cell]  2 I 2.81
I: 0.0000 0.0000 0.5000 [4 per cell]  4 V 2.81, 2 Na 3.01

Calculated values
DOS at the Fermi energy	24.189	states/eV/cell
size of the total moment	30.33	μB/cell

=====

Most stable structure: 2

=====

1 | Entry from the Alexandria database: a geometry-optimized NaW2I2 structure (PBE-GGA).

Cell: 8.5409 8.5409 3.3330 Å, 90.00 90.00 90.00°
Closest atoms and distances in Å follow each position.
Space group P4/mbm (No. 127)
Symmetry-distinct sites (fractional):
Na: 0.0000 0.0000 0.0000 [2 per cell]  2 Na 3.33, 8 I 3.50, 4 W 3.54
W: 0.0975 0.4025 0.0000 [4 per cell]  1 W 2.36
I: 0.1993 0.6993 0.5000 [4 per cell]  6 W 2.97-3.16

Calculated values
DOS at the Fermi energy	11.104	states/eV/cell
size of the total moment	0.00	μB/cell

=====

2 | Entry from the Alexandria database: a geometry-optimized NaW2I2 structure (PBE-GGA).

Cell: 5.1998 5.1998 9.6611 Å, 90.00 90.00 90.00°
Closest atoms and distances in Å follow each position.
Space group I4/mmm (No. 139)
Symmetry-distinct sites (fractional):
Na: 0.0000 0.0000 0.0000 [2 per cell]  8 I 3.55, 10 W 3.69-3.85
W: 0.0000 0.0000 0.3821 [4 per cell]  1 W 2.28
I: 0.0000 0.5000 0.2500 [4 per cell]  4 W 2.90

Calculated values
DOS at the Fermi energy	10.696	states/eV/cell
size of the total moment	0.01	μB/cell

=====

Most stable structure: 2

=====

1 | Entry from the Alexandria database: a geometry-optimized Na2WI structure (PBE-GGA).

Cell: 7.9427 7.9427 7.9427 Å, 90.00 90.00 90.00°
Closest atoms and distances in Å follow each position.
Space group Fm-3m (No. 225)
Symmetry-distinct sites (fractional):
Na: 0.2500 0.2500 0.2500 [8 per cell]  4 W 3.44, 4 I 3.44
W: 0.0000 0.0000 0.0000 [4 per cell]  8 Na 3.44
I: 0.0000 0.0000 0.5000 [4 per cell]  8 Na 3.44

Calculated values
DOS at the Fermi energy	1.433	states/eV/cell
size of the total moment	20.09	μB/cell

=====

2 | Entry from the Alexandria database: a geometry-optimized Na2WI structure (PBE-GGA).

Cell: 8.8100 8.8100 6.1755 Å, 90.00 90.00 90.00°
Closest atoms and distances in Å follow each position.
Space group I-42d (No. 122)
Symmetry-distinct sites (fractional):
Na: 0.2392 0.2500 0.1250 [8 per cell]  2 Na 3.09, 2 I 3.14, 2 W 3.27
W: 0.0000 0.0000 0.5000 [4 per cell]  2 I 3.09, 4 Na 3.27
I: 0.0000 0.0000 0.0000 [4 per cell]  2 W 3.09, 4 Na 3.14

Calculated values
DOS at the Fermi energy	9.836	states/eV/cell
size of the total moment	18.17	μB/cell

=====

Most stable structure: 2

=====

1 | Entry from the Alexandria database: a geometry-optimized NaY2I structure (PBE-GGA).

Cell: 8.9500 8.9500 6.7828 Å, 90.00 90.00 90.00°
Closest atoms and distances in Å follow each position.
Space group I-42d (No. 122)
Symmetry-distinct sites (fractional):
Na: 0.0000 0.0000 0.0000 [4 per cell]  2 I 3.39, 4 Y 3.53
Y: 0.2105 0.2500 0.6250 [8 per cell]  2 I 3.05
I: 0.0000 0.0000 0.5000 [4 per cell]  4 Y 3.05, 2 Na 3.39

Calculated values
DOS at the Fermi energy	15.786	states/eV/cell
size of the total moment	4.18	μB/cell

=====

2 | Entry from the Alexandria database: a geometry-optimized NaY2I structure (PBE-GGA).

Cell: 7.7797 7.7797 7.7797 Å, 90.00 90.00 90.00°
Closest atoms and distances in Å follow each position.
Space group Fm-3m (No. 225)
Symmetry-distinct sites (fractional):
Na: 0.0000 0.0000 0.0000 [4 per cell]  8 Y 3.37
Y: 0.2500 0.2500 0.2500 [8 per cell]  4 Na 3.37, 4 I 3.37
I: 0.0000 0.0000 0.5000 [4 per cell]  8 Y 3.37

Calculated values
DOS at the Fermi energy	21.692	states/eV/cell
size of the total moment	0.00	μB/cell

=====

Most stable structure: 2

=====

1 | Entry from the Alexandria database: a geometry-optimized Na2ZnI structure (PBE-GGA).

Cell: 7.9120 7.9120 7.9120 Å, 90.00 90.00 90.00°
Closest atoms and distances in Å follow each position.
Space group Fm-3m (No. 225)
Symmetry-distinct sites (fractional):
Na: 0.2500 0.2500 0.2500 [8 per cell]  4 I 3.43, 4 Zn 3.43
Zn: 0.0000 0.0000 0.0000 [4 per cell]  8 Na 3.43
I: 0.0000 0.0000 0.5000 [4 per cell]  8 Na 3.43

Calculated values
DOS at the Fermi energy	6.268	states/eV/cell
size of the total moment	0.00	μB/cell

=====

2 | Entry from the Alexandria database: a geometry-optimized Na2ZnI structure (PBE-GGA).

Cell: 5.5949 5.5949 19.2792 Å, 90.00 90.00 90.00°
Closest atoms and distances in Å follow each position.
Space group I-42d (No. 122)
Symmetry-distinct sites (fractional):
Na: 0.2292 0.2500 0.1250 [8 per cell]  2 Zn 3.07, 2 I 3.17
Zn: 0.0000 0.0000 0.0000 [4 per cell]  4 Na 3.07
I: 0.0000 0.0000 0.5000 [4 per cell]  4 Na 3.17

Calculated values
DOS at the Fermi energy	2.855	states/eV/cell
size of the total moment	0.00	μB/cell

=====

Most stable structure: 1

=====

1 | Entry from the Alexandria database: a geometry-optimized Na2ZrI structure (PBE-GGA).

Cell: 9.1225 9.1225 5.8854 Å, 90.00 90.00 90.00°
Closest atoms and distances in Å follow each position.
Space group I-42d (No. 122)
Symmetry-distinct sites (fractional):
Na: 0.2210 0.2500 0.1250 [8 per cell]  2 Na 2.99, 2 I 3.13
Zr: 0.0000 0.0000 0.5000 [4 per cell]  2 I 2.94
I: 0.0000 0.0000 0.0000 [4 per cell]  2 Zr 2.94, 4 Na 3.13

Calculated values
DOS at the Fermi energy	14.977	states/eV/cell
size of the total moment	4.51	μB/cell

=====

2 | Entry from the Alexandria database: a geometry-optimized Na2ZrI structure (PBE-GGA).

Cell: 8.0988 8.0988 8.0988 Å, 90.00 90.00 90.00°
Closest atoms and distances in Å follow each position.
Space group Fm-3m (No. 225)
Symmetry-distinct sites (fractional):
Na: 0.2500 0.2500 0.2500 [8 per cell]  4 I 3.51, 4 Zr 3.51
Zr: 0.0000 0.0000 0.0000 [4 per cell]  8 Na 3.51
I: 0.0000 0.0000 0.5000 [4 per cell]  8 Na 3.51

Calculated values
DOS at the Fermi energy	11.532	states/eV/cell
size of the total moment	12.95	μB/cell

=====

Most stable structure: 1